Density functional theory data (PBE-GGA) for a relaxed MgMnCo crystal.

Properties
- Theoretical density: 5.3 g/cm³
- Energy above the most stable polymorph in this dataset: 594 meV/atom
- Energy of formation from the pure elements: 191.4 kJ/mol of formula units

a = 5.5775 Å, b = 5.5775 Å, c = 5.5775 Å
α = 90.00°, β = 90.00°, γ = 90.00°
Closest atoms and distances in Å follow each position.
Space group F-43m (No. 216)
One atom of each set of equivalent atoms:
Mg: 0.0000 0.0000 0.0000  4 Co 2.42
Mn: 0.0000 0.0000 0.5000  4 Co 2.42
Co: 0.2500 0.2500 0.2500  4 Mn 2.42, 4 Mg 2.42